# 1
# TcSe2N

TcSe2N at its PBEsol-relaxed geometry (SCAN, the Alexandria database).

Values from the calculation:
E_form (uncorrected), kcal/mol of atoms: 16.3

a = 3.633 Å, b = 3.633 Å, c = 6.546 Å
α = 73.89°, β = 73.89°, γ = 60.00°
Sites, in units of the cell vectors:
Tc  0.500  0.500  0.500
Se  0.906  0.906  0.282
Se  0.094  0.094  0.718
N  0.000  0.000  0.000

***

# 2
# BeCr2Tc

BeCr2Tc at its PBEsol-relaxed geometry (SCAN, the Alexandria database).

Values from the calculation:
Energy, eV per atom: -19.050

a = 2.878 Å, b = 4.009 Å, c = 4.634 Å
α = 115.63°, β = 108.09°, γ = 90.00°
Sites, in units of the cell vectors:
Cr  0.010  0.510  0.021
Cr  0.743  0.743  0.486
Tc  0.492  0.992  0.984
Be  0.255  0.255  0.509

***

# 3
# In2Ru

In2Ru at its PBEsol-relaxed geometry (SCAN, the Alexandria database).

Values from the calculation:
Energy, eV per atom: -33.391

a = 2.944 Å, b = 4.615 Å, c = 4.615 Å
α = 120.00°, β = 90.00°, γ = 90.00°
Sites, in units of the cell vectors:
In  0.500  0.667  0.333
In  0.500  0.333  0.667
Ru  0.000  0.000  0.000

***

# 4
# FeOsPt2

FeOsPt2 at its PBEsol-relaxed geometry (SCAN, the Alexandria database).

Values from the calculation:
Polymorph energy (0 for the lowest one), kJ/mol of atoms: 3.2

a = 2.694 Å, b = 2.694 Å, c = 7.655 Å
α = 90.00°, β = 90.00°, γ = 90.00°
Sites, in units of the cell vectors:
Fe  0.500  0.500  0.000
Os  0.500  0.500  0.500
Pt  0.000  0.000  0.757
Pt  0.000  0.000  0.243

***

# 5
# NiP

NiP at its PBEsol-relaxed geometry (SCAN, the Alexandria database).

Values from the calculation:
Energy, eV per atom: -13.742

a = 4.790 Å, b = 5.938 Å, c = 6.878 Å
α = 90.00°, β = 90.00°, γ = 90.00°
Sites, in units of the cell vectors:
Ni  0.986  0.806  0.600
Ni  0.014  0.694  0.100
Ni  0.486  0.194  0.900
Ni  0.514  0.306  0.400
Ni  0.014  0.194  0.400
Ni  0.986  0.306  0.900
Ni  0.514  0.806  0.100
Ni  0.486  0.694  0.600
P  0.825  0.940  0.883
P  0.175  0.560  0.383
P  0.325  0.060  0.617
P  0.675  0.440  0.117
P  0.175  0.060  0.117
P  0.825  0.440  0.617
P  0.675  0.940  0.383
P  0.325  0.560  0.883

***

# 6
# BaTlRu3

BaTlRu3 at its PBEsol-relaxed geometry (SCAN, the Alexandria database).

Values from the calculation:
Energy, eV per atom: -41.661

a = 5.030 Å, b = 5.030 Å, c = 5.030 Å
α = 90.00°, β = 90.00°, γ = 90.00°
Sites, in units of the cell vectors:
Ru  0.000  0.500  0.000
Ru  0.000  0.000  0.500
Ru  0.500  0.000  0.000
Tl  0.000  0.000  0.000
Ba  0.500  0.500  0.500

***

# 7
# SrFeCl

SrFeCl at its PBEsol-relaxed geometry (SCAN, the Alexandria database).

Values from the calculation:
E_form (uncorrected), kcal/mol of atoms: -1.2

a = 4.438 Å, b = 3.900 Å, c = 3.900 Å
α = 120.00°, β = 90.00°, γ = 90.00°
Sites, in units of the cell vectors:
Sr  0.333  0.667  0.333
Fe  0.833  0.333  0.667
Cl  0.833  0.000  0.000

***

# 8
# CoTcNi2

CoTcNi2 at its PBEsol-relaxed geometry (SCAN, the Alexandria database).

Values from the calculation:
Polymorph energy (0 for the lowest one), kJ/mol of atoms: 1.9

a = 3.516 Å, b = 3.516 Å, c = 4.352 Å
α = 113.83°, β = 113.83°, γ = 90.00°
Sites, in units of the cell vectors:
Ni  0.000  0.000  0.000
Ni  0.750  0.250  0.500
Co  0.250  0.750  0.500
Tc  0.500  0.500  0.000

***

# 9
# Sr2LaCr

Sr2LaCr at its PBEsol-relaxed geometry (SCAN, the Alexandria database).

Values from the calculation:
Polymorph energy (0 for the lowest one), kJ/mol of atoms: 21.7

a = 4.898 Å, b = 4.898 Å, c = 6.723 Å
α = 111.36°, β = 111.36°, γ = 90.00°
Sites, in units of the cell vectors:
Cr  0.500  0.500  0.000
La  0.000  0.000  0.000
Sr  0.750  0.250  0.500
Sr  0.250  0.750  0.500

***

# 10
# Hf9SiMo4

Hf9SiMo4 at its PBEsol-relaxed geometry (SCAN, the Alexandria database).

Values from the calculation:
E_form (uncorrected), kcal/mol of atoms: -4.9

a = 8.523 Å, b = 8.523 Å, c = 8.605 Å
α = 90.00°, β = 90.00°, γ = 120.00°
Sites, in units of the cell vectors:
Hf  0.198  0.802  0.044
Hf  0.604  0.802  0.044
Hf  0.198  0.396  0.044
Hf  0.802  0.198  0.956
Hf  0.396  0.198  0.956
Hf  0.802  0.604  0.956
Hf  0.802  0.198  0.544
Hf  0.396  0.198  0.544
Hf  0.802  0.604  0.544
Hf  0.198  0.802  0.456
Hf  0.604  0.802  0.456
Hf  0.198  0.396  0.456
Hf  0.537  0.463  0.250
Hf  0.926  0.463  0.250
Hf  0.537  0.074  0.250
Hf  0.463  0.537  0.750
Hf  0.074  0.537  0.750
Hf  0.463  0.926  0.750
Si  0.333  0.667  0.250
Si  0.667  0.333  0.750
Mo  0.890  0.110  0.250
Mo  0.220  0.110  0.250
Mo  0.890  0.780  0.250
Mo  0.110  0.890  0.750
Mo  0.780  0.890  0.750
Mo  0.110  0.220  0.750
Mo  0.000  0.000  0.000
Mo  0.000  0.000  0.500

***

# 11
# BeCr2Cd

BeCr2Cd at its PBEsol-relaxed geometry (SCAN, the Alexandria database).

Values from the calculation:
Polymorph energy (0 for the lowest one), kJ/mol of atoms: 18.1

a = 2.588 Å, b = 3.888 Å, c = 5.075 Å
α = 90.00°, β = 95.92°, γ = 90.00°
Sites, in units of the cell vectors:
Cr  0.052  0.000  0.804
Cr  0.948  0.000  0.196
Be  0.500  0.500  0.000
Cd  0.500  0.500  0.500

***

# 12
# ZnNi2Rh

ZnNi2Rh at its PBEsol-relaxed geometry (SCAN, the Alexandria database).

Values from the calculation:
Energy, eV per atom: -20.015

a = 2.595 Å, b = 4.375 Å, c = 4.375 Å
α = 108.51°, β = 90.00°, γ = 90.00°
Sites, in units of the cell vectors:
Ni  0.000  0.000  0.500
Ni  0.000  0.500  0.000
Zn  0.500  0.000  0.000
Rh  0.500  0.500  0.500

***

# 13
# ZrZnPb3

ZrZnPb3 at its PBEsol-relaxed geometry (SCAN, the Alexandria database).

Values from the calculation:
Energy, eV per atom: -53.905

a = 5.576 Å, b = 5.576 Å, c = 5.576 Å
α = 90.00°, β = 90.00°, γ = 90.00°
Sites, in units of the cell vectors:
Pb  0.000  0.500  0.000
Pb  0.000  0.000  0.500
Pb  0.500  0.000  0.000
Zn  0.500  0.500  0.500
Zr  0.000  0.000  0.000

***

# 14
# HfTiMn2Cd

HfTiMn2Cd at its PBEsol-relaxed geometry (SCAN, the Alexandria database).

Values from the calculation:
Energy, eV per atom: -27.977

a = 4.742 Å, b = 4.742 Å, c = 5.183 Å
α = 90.00°, β = 90.00°, γ = 90.00°
Sites, in units of the cell vectors:
Ti  0.500  0.500  0.500
Mn  0.000  0.500  0.000
Mn  0.500  0.000  0.000
Hf  0.000  0.000  0.500
Cd  0.000  0.000  0.000

***

# 15
# NbCdNi3

NbCdNi3 at its PBEsol-relaxed geometry (SCAN, the Alexandria database).

Values from the calculation:
Energy, eV per atom: -21.172

a = 4.488 Å, b = 4.488 Å, c = 4.488 Å
α = 90.00°, β = 90.00°, γ = 90.00°
Sites, in units of the cell vectors:
Ni  0.000  0.500  0.000
Ni  0.000  0.000  0.500
Ni  0.500  0.000  0.000
Nb  0.000  0.000  0.000
Cd  0.500  0.500  0.500

***

# 16
# SrZr2Au

SrZr2Au at its PBEsol-relaxed geometry (SCAN, the Alexandria database).

Values from the calculation:
Energy, eV per atom: -38.152

a = 3.497 Å, b = 5.203 Å, c = 6.085 Å
α = 115.31°, β = 106.70°, γ = 90.00°
Sites, in units of the cell vectors:
Au  0.482  0.482  0.965
Sr  0.226  0.726  0.452
Zr  0.012  0.012  0.024
Zr  0.780  0.280  0.559

***

# 17
# CeSbTe

CeSbTe at its PBEsol-relaxed geometry (SCAN, the Alexandria database).

Values from the calculation:
E_form (uncorrected), kcal/mol of atoms: -28.8

a = 4.314 Å, b = 4.314 Å, c = 9.050 Å
α = 90.00°, β = 90.00°, γ = 90.00°
Sites, in units of the cell vectors:
Sb  0.000  0.000  0.000
Sb  0.500  0.500  0.000
Te  0.500  0.000  0.367
Te  0.000  0.500  0.633
Ce  0.500  0.000  0.726
Ce  0.000  0.500  0.274

***

# 18
# YZn4Co

YZn4Co at its PBEsol-relaxed geometry (SCAN, the Alexandria database).

Values from the calculation:
Energy, eV per atom: -16.734

a = 5.015 Å, b = 5.015 Å, c = 5.015 Å
α = 60.00°, β = 60.00°, γ = 60.00°
Sites, in units of the cell vectors:
Y  0.000  0.000  0.000
Zn  0.376  0.376  0.376
Zn  0.376  0.376  0.871
Zn  0.871  0.376  0.376
Zn  0.376  0.871  0.376
Co  0.750  0.750  0.750

***

# 19
# ErB4

ErB4 at its PBEsol-relaxed geometry (SCAN, the Alexandria database).

Values from the calculation:
Energy, eV per atom: -16.665

a = 3.963 Å, b = 7.025 Å, c = 7.025 Å
α = 90.00°, β = 90.00°, γ = 90.00°
Sites, in units of the cell vectors:
Er  0.000  0.183  0.683
Er  0.000  0.683  0.817
Er  0.000  0.317  0.183
Er  0.000  0.817  0.317
B  0.500  0.323  0.461
B  0.500  0.677  0.539
B  0.500  0.539  0.323
B  0.500  0.461  0.677
B  0.203  0.000  0.000
B  0.797  0.500  0.500
B  0.797  0.000  0.000
B  0.203  0.500  0.500
B  0.500  0.587  0.087
B  0.500  0.087  0.413
B  0.500  0.913  0.587
B  0.500  0.413  0.913
B  0.500  0.039  0.177
B  0.500  0.177  0.961
B  0.500  0.823  0.039
B  0.500  0.961  0.823

***

# 20
# CrNi4

CrNi4 at its PBEsol-relaxed geometry (SCAN, the Alexandria database).

Values from the calculation:
Energy, eV per atom: -16.565

a = 3.430 Å, b = 4.251 Å, c = 4.251 Å
α = 80.63°, β = 66.21°, γ = 66.21°
Sites, in units of the cell vectors:
Cr  0.000  0.000  0.000
Ni  0.797  0.804  0.602
Ni  0.203  0.196  0.398
Ni  0.601  0.602  0.196
Ni  0.399  0.398  0.804